An optimized crystal structure of ZrFe4Ir. Source: Alexandria, functional GGA-PBE.

Lattice parameters (Å, degrees): 6.8601 6.8601 6.8601 90.00 90.00 90.00
With the nearest neighbours (Å) after each atom.
Space group F-43m (No. 216)
Asymmetric unit:
Zr 0.0000 0.0000 0.0000  12 Fe 2.84, 4 Ir 2.97
Fe 0.1247 0.1247 0.6247  6 Fe 2.42-2.43
Ir 0.2500 0.2500 0.2500  12 Fe 2.84, 4 Zr 2.97

***

An optimized crystal structure of ZrFeIr2. Source: Alexandria, functional GGA-PBE.

Lattice parameters (Å, degrees): 3.0046 3.0046 7.0195 90.00 90.00 90.00
With the nearest neighbours (Å) after each atom.
Space group P4mm (No. 99)
Asymmetric unit:
Zr 0.0000 0.0000 0.0000  4 Ir 2.81, 4 Fe 2.87, 4 Zr 3.00
Fe 0.5000 0.5000 0.2758  4 Ir 2.51
Ir 0.0000 0.0000 0.4658  4 Fe 2.51
Ir 0.5000 0.5000 0.7373  4 Zr 2.81, 8 Ir 2.85-3.00

***

An optimized crystal structure of ZrFeIr2. Source: Alexandria, functional GGA-PBE.

Lattice parameters (Å, degrees): 2.8121 4.2961 5.3784 90.00 105.07 90.00
With the nearest neighbours (Å) after each atom.
Space group P2/m (No. 10)
Asymmetric unit:
Zr 0.0000 0.0000 0.0000  2 Fe 2.69, 2 Zr 2.81, 8 Ir 2.92-2.95
Fe 0.0000 0.0000 0.5000  4 Ir 2.55, 2 Zr 2.69, 2 Fe 2.81
Ir 0.3747 0.5000 0.7250  2 Fe 2.55, 5 Ir 2.69-2.86

***

An optimized crystal structure of ZrFeIr2. Source: Alexandria, functional GGA-PBE.

Lattice parameters (Å, degrees): 2.8852 3.8215 5.6756 90.00 90.00 90.00
With the nearest neighbours (Å) after each atom.
Space group Pmm2 (No. 25)
Asymmetric unit:
Zr 0.0000 0.0000 0.0000  6 Ir 2.73-2.94, 2 Zr 2.89, 4 Fe 2.91
Fe 0.5000 0.5000 0.2919  5 Ir 2.57-2.62
Ir 0.0000 0.0000 0.4813  4 Fe 2.62, 1 Zr 2.73, 6 Ir 2.82-2.89
Ir 0.5000 0.5000 0.7444  1 Fe 2.57, 4 Zr 2.80, 4 Ir 2.82

***

Number 1: V 322.8 Å³/cell, ΔE_f -0.22 eV/atom. Number 2: V 63.4 Å³/cell, ΔE_f -0.10 eV/atom. Number 3: V 62.7 Å³/cell, ΔE_f -0.28 eV/atom. Number 4: V 62.6 Å³/cell, ΔE_f -0.25 eV/atom.